DFT (PBE-GGA) results for GePd5 after structural relaxation.

The space group is C2/m. The total energy is -32.039 eV/f.u.

Lattice parameters (Å, degrees): 4.746 4.746 5.549 104.97 104.97 49.87
Fractional coordinates of all 6 atoms:
Ge 0.000 0.000 0.000
Pd 0.334 0.334 0.163
Pd 0.664 0.664 0.330
Pd 0.000 0.000 0.500
Pd 0.336 0.336 0.670
Pd 0.666 0.666 0.837